Entry 1:
{"formula": "HgSb2Se", "functional": "PBE", "state": "relaxed", "magmom_total_mub_per_atom": 0.00, "de_polymorph_mev_per_atom": 0, "energy_ev_per_atom": -3.011, "e_form_raw_ev_per_atom": -0.003, "cell": [[7.407, -0.019, -0.012], [6.189, 4.069, -0.012], [6.189, 1.844, 3.628]], "species": ["Sb", "Hg", "Se", "Sb"], "fractional_positions": [[0.997, 0.997, 0.997], [0.756, 0.756, 0.756], [0.496, 0.496, 0.496], [0.251, 0.251, 0.251]]}


Entry 2:
{"formula": "Cs2NaTl12Pd3", "functional": "PBE", "state": "relaxed", "magmom_total_mub_per_atom": 0.00, "energy_ev_per_atom": -2.597, "cell": [[-6.849, -4.020, -4.325], [3.449, -6.683, -5.023], [-1.732, -7.806, 4.225]], "species": ["Tl", "Pd", "Tl", "Tl", "Tl", "Pd", "Tl", "Tl", "Pd", "Cs", "Tl", "Tl", "Cs", "Na", "Tl", "Tl", "Tl", "Tl"], "fractional_positions": [[0.860, 0.366, 0.860], [0.500, 0.000, 0.000], [0.140, 0.140, 0.634], [0.915, 0.272, 0.272], [0.085, 0.728, 0.728], [0.000, 0.500, 0.000], [0.366, 0.860, 0.860], [0.728, 0.085, 0.728], [0.000, 0.000, 0.500], [0.596, 0.596, 0.596], [0.140, 0.634, 0.140], [0.272, 0.915, 0.272], [0.404, 0.404, 0.404], [0.000, 0.000, 0.000], [0.860, 0.860, 0.366], [0.272, 0.272, 0.915], [0.634, 0.140, 0.140], [0.728, 0.728, 0.085]]}


Entry 3:
{"formula": "PrNiGe3", "functional": "PBE", "state": "relaxed", "magmom_total_mub_per_atom": 0.00, "energy_ev_per_atom": -5.479, "cell": [[4.214, 0.000, 0.000], [0.000, 4.167, -0.004], [0.000, -2.064, 10.998]], "species": ["Ge", "Ge", "Ni", "Ni", "Pr", "Pr", "Ge", "Ge", "Ge", "Ge"], "fractional_positions": [[0.000, 0.284, 0.569], [0.000, 0.943, 0.887], [0.000, 0.608, 0.217], [0.000, 0.392, 0.783], [0.500, 0.169, 0.337], [0.500, 0.831, 0.663], [0.500, 0.442, 0.886], [0.500, 0.558, 0.114], [0.000, 0.716, 0.431], [0.000, 0.057, 0.113]]}


Entry 4:
{"formula": "Ga2Se2F", "functional": "PBE", "state": "relaxed", "magmom_total_mub_per_atom": 0.00, "de_polymorph_mev_per_atom": 92, "energy_ev_per_atom": -3.504, "e_form_raw_ev_per_atom": -0.525, "cell": [[4.519, 0.000, 0.000], [0.000, 4.519, 0.000], [2.260, 2.260, 4.958]], "species": ["Se", "F", "Ga", "Ga", "Se"], "fractional_positions": [[0.750, 0.250, 0.500], [0.000, 0.000, 0.000], [0.380, 0.380, 0.240], [0.620, 0.620, 0.760], [0.250, 0.750, 0.500]]}


Entry 5:
{"formula": "NiMoCl", "functional": "PBE", "state": "relaxed", "magmom_total_mub_per_atom": 0.00, "de_polymorph_mev_per_atom": 371, "energy_ev_per_atom": -5.604, "e_form_raw_ev_per_atom": 0.549, "cell": [[4.193, 0.000, 0.000], [-2.097, 3.632, 0.000], [0.000, 0.000, 2.808]], "species": ["Cl", "Ni", "Mo"], "fractional_positions": [[0.000, 0.000, 0.166], [0.333, 0.667, 0.667], [0.667, 0.333, 0.167]]}


Entry 6:
{"formula": "Li2CaZr", "functional": "PBE", "state": "relaxed", "magmom_total_mub_per_atom": 0.00, "de_polymorph_mev_per_atom": 80, "energy_ev_per_atom": -3.258, "cell": [[-1.506, -2.286, 1.303], [4.121, -2.174, 0.947], [0.315, 3.206, 5.988]], "species": ["Li", "Li", "Zr", "Ca"], "fractional_positions": [[0.000, 0.000, 0.460], [0.000, 0.000, 0.040], [0.500, 0.500, 0.250], [0.500, 0.500, 0.750]]}


Entry 7:
{"formula": "Zr2TiTcN", "functional": "PBE", "state": "relaxed", "magmom_total_mub_per_atom": 0.07, "energy_ev_per_atom": -9.484, "e_form_raw_ev_per_atom": -0.748, "cell": [[-3.993, -1.616, -1.530], [2.210, -2.510, -3.116], [0.224, -2.957, 2.540]], "species": ["N", "Zr", "Ti", "Tc", "Zr"], "fractional_positions": [[0.000, 0.000, 0.000], [0.000, 0.500, 0.000], [0.000, 0.000, 0.500], [0.500, 0.500, 0.500], [0.500, 0.000, 0.000]]}


Entry 8:
{"formula": "MnGa2Au", "functional": "PBE", "state": "relaxed", "magmom_total_mub_per_atom": 0.84, "energy_ev_per_atom": -4.602, "cell": [[1.067, -4.014, 1.776], [-1.610, -1.176, 4.053], [-3.141, -3.230, 0.332]], "species": ["Ga", "Au", "Ga", "Mn"], "fractional_positions": [[0.250, 0.250, 0.250], [0.500, 0.500, 0.500], [0.750, 0.750, 0.750], [0.000, 0.000, 0.000]]}


Entry 9:
{"formula": "CdTeW2", "functional": "PBE", "state": "relaxed", "magmom_total_mub_per_atom": 0.00, "de_polymorph_mev_per_atom": 443, "energy_ev_per_atom": -6.616, "e_form_raw_ev_per_atom": 0.875, "cell": [[-4.388, -1.346, -2.184], [-3.428, -3.747, -0.209], [-2.968, 1.678, 3.481]], "species": ["W", "Cd", "W", "Te"], "fractional_positions": [[0.999, 0.999, 0.997], [0.250, 0.250, 0.250], [0.501, 0.501, 0.503], [0.750, 0.750, 0.750]]}


Entry 10:
{"formula": "CdH3Br", "functional": "PBE", "state": "relaxed", "magmom_total_mub_per_atom": 0.00, "de_polymorph_mev_per_atom": 218, "energy_ev_per_atom": -1.629, "cell": [[-0.603, 0.399, -3.985], [3.947, -0.619, -0.659], [-0.674, -3.982, -0.297]], "species": ["H", "Cd", "H", "H", "Br"], "fractional_positions": [[0.000, 0.500, 0.000], [0.500, 0.500, 0.500], [0.000, 0.000, 0.500], [0.500, 0.000, 0.000], [0.000, 0.000, 0.000]]}


Entry 11:
{"formula": "Sr2ErWN4", "functional": "PBE", "state": "relaxed", "magmom_total_mub_per_atom": 0.13, "energy_ev_per_atom": -7.781, "e_form_raw_ev_per_atom": -1.008, "cell": [[5.658, 0.000, 0.000], [0.000, 6.947, 0.000], [0.000, 0.000, 7.621]], "species": ["N", "Er", "N", "Er", "N", "W", "Sr", "N", "N", "N", "Sr", "W", "N", "N", "Sr", "Sr"], "fractional_positions": [[0.431, 0.718, 0.712], [0.484, 0.838, 0.000], [0.931, 0.282, 0.212], [0.984, 0.162, 0.500], [0.431, 0.718, 0.288], [0.503, 0.851, 0.500], [0.971, 0.663, 0.254], [0.333, 0.126, 0.000], [0.876, 0.894, 0.000], [0.833, 0.874, 0.500], [0.971, 0.663, 0.746], [0.003, 0.149, 0.000], [0.376, 0.106, 0.500], [0.931, 0.282, 0.788], [0.471, 0.337, 0.754], [0.471, 0.337, 0.246]]}


Entry 12:
{"formula": "AcErLuHg", "functional": "PBE", "state": "relaxed", "magmom_total_mub_per_atom": 0.01, "energy_ev_per_atom": -3.276, "cell": [[5.525, 0.000, 0.000], [2.763, 4.785, 0.000], [2.763, 1.595, 4.511]], "species": ["Er", "Ac", "Hg", "Lu"], "fractional_positions": [[0.000, 0.000, 0.000], [0.750, 0.750, 0.750], [0.250, 0.250, 0.250], [0.500, 0.500, 0.500]]}


Entry 13:
{"formula": "In2Sb2Pt7Rh", "functional": "PBE", "state": "relaxed", "magmom_total_mub_per_atom": 0.12, "energy_ev_per_atom": -5.482, "e_form_raw_ev_per_atom": -0.202, "cell": [[3.902, 0.008, 0.096], [0.012, 3.902, 0.096], [2.236, 2.233, 15.520]], "species": ["Pt", "In", "Pt", "Sb", "Sb", "Pt", "Rh", "Pt", "Pt", "In", "Pt", "Pt"], "fractional_positions": [[0.913, 0.413, 0.131], [0.327, 0.327, 0.257], [0.765, 0.765, 0.564], [0.745, 0.745, 0.397], [0.255, 0.255, 0.603], [0.235, 0.235, 0.436], [0.000, 0.000, 0.000], [0.500, 0.500, 0.000], [0.587, 0.087, 0.869], [0.673, 0.673, 0.743], [0.413, 0.913, 0.131], [0.087, 0.587, 0.869]]}


Entry 14:
{"formula": "PrTaNbIr2", "functional": "PBE", "state": "relaxed", "magmom_total_mub_per_atom": 0.00, "energy_ev_per_atom": -9.455, "cell": [[-4.046, -1.832, 0.586], [1.897, -4.026, 0.512], [1.449, 3.770, 4.671]], "species": ["Ir", "Ta", "Pr", "Ir", "Nb"], "fractional_positions": [[0.374, 0.374, 0.747], [0.750, 0.250, 0.500], [0.000, 0.000, 0.000], [0.626, 0.626, 0.253], [0.250, 0.750, 0.500]]}


Entry 15:
{"formula": "YZrIr4", "functional": "PBE", "state": "relaxed", "magmom_total_mub_per_atom": 0.00, "energy_ev_per_atom": -9.128, "cell": [[-4.136, -1.732, 2.842], [-3.777, -2.923, -2.318], [-0.449, -5.161, 1.160]], "species": ["Zr", "Ir", "Ir", "Ir", "Y", "Ir"], "fractional_positions": [[0.000, 0.000, 0.000], [0.125, 0.625, 0.625], [0.625, 0.625, 0.625], [0.625, 0.625, 0.125], [0.250, 0.250, 0.250], [0.625, 0.125, 0.625]]}


Entry 16:
{"formula": "Rb2In3GaPb4", "functional": "PBE", "state": "relaxed", "magmom_total_mub_per_atom": 0.00, "energy_ev_per_atom": -2.885, "cell": [[-3.064, 4.120, 1.312], [-4.144, -3.257, 0.548], [2.878, -1.657, 11.926]], "species": ["Pb", "Pb", "Rb", "In", "In", "In", "Rb", "Pb", "Ga", "Pb"], "fractional_positions": [[0.500, 0.500, 0.000], [0.500, 0.000, 0.623], [0.500, 0.000, 0.256], [0.500, 0.000, 0.866], [0.000, 0.500, 0.134], [0.000, 0.000, 0.500], [0.000, 0.500, 0.744], [0.000, 0.000, 0.000], [0.500, 0.500, 0.500], [0.000, 0.500, 0.377]]}


Entry 17:
{"formula": "SrIn5", "functional": "PBE", "state": "relaxed", "magmom_total_mub_per_atom": 0.00, "de_polymorph_mev_per_atom": 0, "energy_ev_per_atom": -2.780, "cell": [[-5.070, 0.428, 1.677], [1.189, -3.262, -4.131], [0.993, -5.080, 4.297]], "species": ["In", "Sr", "In", "In", "In", "In"], "fractional_positions": [[0.667, 0.333, 0.737], [0.000, 0.000, 0.000], [0.000, 0.000, 0.500], [0.333, 0.667, 0.263], [0.667, 0.333, 0.263], [0.333, 0.667, 0.737]]}